(1)
# La3In2Ir3 (GGA-PBE, optimized geometry)
data_La3In2Ir3
_chemical_formula_sum 'La6 In4 Ir6'
_symmetry_space_group_name_H-M 'P 1'
_symmetry_Int_Tables_number 1
_cell_length_a 6.1248
_cell_length_b 8.4526
_cell_length_c 8.4526
_cell_angle_alpha 120.00
_cell_angle_beta 90.00
_cell_angle_gamma 90.00
loop_
_symmetry_equiv_pos_as_xyz
'x,y,z'
loop_
_atom_site_label
_atom_site_type_symbol
_atom_site_fract_x
_atom_site_fract_y
_atom_site_fract_z
La1 La 0.7500 0.2738 0.0000
La2 La 0.7500 0.7262 0.7262
La3 La 0.7500 0.0000 0.2738
La4 La 0.2500 0.7262 0.0000
La5 La 0.2500 0.2738 0.2738
La6 La 0.2500 0.0000 0.7262
In1 In 0.0000 0.3333 0.6667
In2 In 0.5000 0.6667 0.3333
In3 In 0.0000 0.6667 0.3333
In4 In 0.5000 0.3333 0.6667
Ir1 Ir 0.7500 0.6044 0.0000
Ir2 Ir 0.7500 0.3956 0.3956
Ir3 Ir 0.7500 0.0000 0.6044
Ir4 Ir 0.2500 0.3956 0.0000
Ir5 Ir 0.2500 0.6044 0.6044
Ir6 Ir 0.2500 0.0000 0.3956
# DFT formation energy	-4.6	eV/f.u.
# ρ	10.7	g cm⁻³
# VASP energy	-6.43	eV/atom

---

(2)
# Cr2SiAg (GGA-PBE, optimized geometry)
data_Cr2SiAg
_chemical_formula_sum 'Cr2 Si1 Ag1'
_symmetry_space_group_name_H-M 'P 1'
_symmetry_Int_Tables_number 1
_cell_length_a 4.7121
_cell_length_b 4.7121
_cell_length_c 4.3716
_cell_angle_alpha 73.66
_cell_angle_beta 73.66
_cell_angle_gamma 36.62
loop_
_symmetry_equiv_pos_as_xyz
'x,y,z'
loop_
_atom_site_label
_atom_site_type_symbol
_atom_site_fract_x
_atom_site_fract_y
_atom_site_fract_z
Ag1 Ag 0.2500 0.2500 0.2500
Cr1 Cr 0.0128 0.0128 0.9347
Cr2 Cr 0.4872 0.4872 0.5653
Si1 Si 0.7500 0.7500 0.7500
# ρ	7.2	g cm⁻³
# formation energy without anion corrections	0.355	eV per atom
# VASP energy	-6.53	eV/atom

---

(3)
# Sr2ZnSn2Au4 (GGA-PBE, optimized geometry)
data_Sr2ZnSn2Au4
_chemical_formula_sum 'Sr2 Zn1 Sn2 Au4'
_symmetry_space_group_name_H-M 'P 1'
_symmetry_Int_Tables_number 1
_cell_length_a 6.7022
_cell_length_b 6.7022
_cell_length_c 6.7022
_cell_angle_alpha 94.90
_cell_angle_beta 117.21
_cell_angle_gamma 117.21
loop_
_symmetry_equiv_pos_as_xyz
'x,y,z'
loop_
_atom_site_label
_atom_site_type_symbol
_atom_site_fract_x
_atom_site_fract_y
_atom_site_fract_z
Sr1 Sr 0.5000 0.7500 0.2500
Sr2 Sr 0.5000 0.2500 0.7500
Zn1 Zn 0.0000 0.0000 0.0000
Sn1 Sn 0.0000 0.6881 0.6881
Sn2 Sn 0.0000 0.3119 0.3119
Au1 Au 0.0000 0.7382 0.2618
Au2 Au 0.4764 0.7382 0.7382
Au3 Au 0.0000 0.2618 0.7382
Au4 Au 0.5236 0.2618 0.2618
# DFT formation energy	-4.3	eV/f.u.
# ρ	9.5	g cm⁻³
# VASP energy	-3.34	eV/atom

---

(4)
# NaBW2 (GGA-PBE, optimized geometry)
data_NaBW2
_chemical_formula_sum 'Na2 B2 W4'
_symmetry_space_group_name_H-M 'P 1'
_symmetry_Int_Tables_number 1
_cell_length_a 4.6400
_cell_length_b 4.6400
_cell_length_c 8.2246
_cell_angle_alpha 73.62
_cell_angle_beta 73.62
_cell_angle_gamma 90.00
loop_
_symmetry_equiv_pos_as_xyz
'x,y,z'
loop_
_atom_site_label
_atom_site_type_symbol
_atom_site_fract_x
_atom_site_fract_y
_atom_site_fract_z
Na1 Na 0.0000 0.0000 0.0000
Na2 Na 0.7500 0.2500 0.5000
B1 B 0.5000 0.5000 0.0000
B2 B 0.2500 0.7500 0.5000
W1 W 0.4553 0.1250 0.2500
W2 W 0.2947 0.6250 0.2500
W3 W 0.3750 0.5447 0.7500
W4 W 0.8750 0.7053 0.7500
# DFT formation energy	6.6	eV/f.u.
# ρ	8.2	g cm⁻³
# VASP energy	-6.83	eV/atom